4
Lattice="3.596 0.000 0.000 0.000 3.596 0.000 0.000 0.000 10.168" Properties=species:S:1:pos:R:3 comment="Tb2NdY (GGA-PBE, relaxed)" formation_enthalpy_0k_ev_per_atom=0.02 relative_energy_ev_per_atom=0.014 m_tot_mub_per_fu=0.0 spacegroup="P4/mmm, No. 123" pbc="T T T"
Tb 0.000 0.000 2.513
Tb 0.000 0.000 7.655
Nd 1.798 1.798 5.084
Y 1.798 1.798 0.000


9
Lattice="4.606 0.000 0.000 0.000 4.606 0.000 0.000 0.000 10.948" Properties=species:S:1:pos:R:3 comment="AcCd6Sn2 (GGA-PBE, relaxed)" formation_enthalpy_0k_ev_per_atom=-0.17 m_tot_mub_per_fu=0.0 spacegroup="P4/mmm, No. 123" pbc="T T T"
Ac 0.000 0.000 0.000
Cd 0.000 0.000 5.474
Cd 0.000 2.303 3.380
Cd 0.000 2.303 7.569
Cd 2.303 0.000 3.380
Cd 2.303 0.000 7.569
Cd 2.303 2.303 5.474
Sn 2.303 2.303 1.474
Sn 2.303 2.303 9.474


5
Lattice="4.673 0.000 0.000 0.000 4.673 0.000 0.000 0.000 2.775" Properties=species:S:1:pos:R:3 comment="BiBNF2 (GGA-PBE, relaxed)" e_form_raw_ev_per_fu=-4.55 relative_energy_ev_per_atom=0.000 m_tot_mub_per_fu=0.0 spacegroup="P4/mmm, No. 123" pbc="T T T"
Bi 0.000 0.000 0.000
B 2.337 2.337 1.388
N 2.337 2.337 0.000
F 0.000 2.337 1.388
F 2.337 0.000 1.388